Record 1
# PBE PmTiIn2O6, optimized geometry
# E_form (uncorrected), eV/atom: -2.2775
data_PmTiIn2O6
_chemical_formula_sum 'Pm1 Ti1 In2 O6'
_cell_length_a 5.615
_cell_length_b 5.616
_cell_length_c 5.974
_cell_angle_alpha 61.96
_cell_angle_beta 61.98
_cell_angle_gamma 60.01
_symmetry_space_group_name_H-M 'P 1'
_symmetry_Int_Tables_number 1
loop_
_symmetry_equiv_pos_as_xyz
'x,y,z'
loop_
_atom_site_label
_atom_site_type_symbol
_atom_site_fract_x
_atom_site_fract_y
_atom_site_fract_z
In1 In 0.020 0.020 0.940
O1 O 0.697 0.138 0.771
O2 O 0.394 0.697 0.771
O3 O 0.584 0.198 0.237
O4 O 0.981 0.583 0.237
Ti1 Ti 0.315 0.315 0.055
In2 In 0.533 0.533 0.402
Pm1 Pm 0.802 0.802 0.595
O5 O 0.198 0.981 0.238
O6 O 0.138 0.394 0.771


Record 2
# PBE PmTlIn2O6, optimized geometry
# E_form (uncorrected), eV/atom: -1.7646
data_PmTlIn2O6
_chemical_formula_sum 'Pm1 Tl1 In2 O6'
_cell_length_a 5.764
_cell_length_b 5.764
_cell_length_c 5.992
_cell_angle_alpha 61.25
_cell_angle_beta 61.25
_cell_angle_gamma 60.00
_symmetry_space_group_name_H-M 'P 1'
_symmetry_Int_Tables_number 1
loop_
_symmetry_equiv_pos_as_xyz
'x,y,z'
loop_
_atom_site_label
_atom_site_type_symbol
_atom_site_fract_x
_atom_site_fract_y
_atom_site_fract_z
O1 O 0.727 0.146 0.741
O2 O 0.386 0.727 0.741
O3 O 0.897 0.637 0.241
O4 O 0.226 0.897 0.241
Tl1 Tl 0.303 0.303 0.090
Pm1 Pm 0.798 0.798 0.607
O5 O 0.146 0.386 0.741
In1 In 0.521 0.521 0.437
O6 O 0.637 0.226 0.241
In2 In 0.021 0.021 0.937


Record 3
# PBE Pm4TlInO, optimized geometry
# E_form (uncorrected), eV/atom: -1.0455
data_Pm4TlInO
_chemical_formula_sum 'Pm8 Tl2 In2 O2'
_cell_length_a 6.779
_cell_length_b 6.782
_cell_length_c 9.085
_cell_angle_alpha 90.00
_cell_angle_beta 111.91
_cell_angle_gamma 90.00
_symmetry_space_group_name_H-M 'P 1'
_symmetry_Int_Tables_number 1
loop_
_symmetry_equiv_pos_as_xyz
'x,y,z'
loop_
_atom_site_label
_atom_site_type_symbol
_atom_site_fract_x
_atom_site_fract_y
_atom_site_fract_z
Pm1 Pm 0.000 0.000 0.500
O1 O 0.756 0.250 0.511
Tl1 Tl 0.110 0.250 0.221
Pm2 Pm 0.500 0.000 0.500
In1 In 0.612 0.750 0.225
Pm3 Pm 0.576 0.250 0.153
O2 O 0.244 0.750 0.489
In2 In 0.388 0.250 0.775
Pm4 Pm 0.500 0.500 0.500
Pm5 Pm 0.000 0.500 0.500
Pm6 Pm 0.921 0.250 0.842
Tl2 Tl 0.890 0.750 0.779
Pm7 Pm 0.079 0.750 0.158
Pm8 Pm 0.424 0.750 0.847


Record 4
# PBE Pm12Tl4InO3, optimized geometry
# E_form (uncorrected), eV/atom: -0.8975
data_Pm12Tl4InO3
_chemical_formula_sum 'Pm12 Tl4 In1 O3'
_cell_length_a 8.940
_cell_length_b 8.940
_cell_length_c 8.940
_cell_angle_alpha 109.47
_cell_angle_beta 109.47
_cell_angle_gamma 109.47
_symmetry_space_group_name_H-M 'P 1'
_symmetry_Int_Tables_number 1
loop_
_symmetry_equiv_pos_as_xyz
'x,y,z'
loop_
_atom_site_label
_atom_site_type_symbol
_atom_site_fract_x
_atom_site_fract_y
_atom_site_fract_z
Pm1 Pm 0.274 0.000 0.274
Tl1 Tl 0.500 0.000 0.000
O1 O 0.500 0.500 0.000
O2 O 0.000 0.500 0.500
Pm2 Pm 0.274 0.274 0.000
Pm3 Pm 0.000 0.726 0.726
Pm4 Pm 0.250 0.500 0.750
Pm5 Pm 0.726 0.000 0.726
Pm6 Pm 0.250 0.750 0.500
O3 O 0.500 0.000 0.500
Pm7 Pm 0.750 0.500 0.250
Pm8 Pm 0.750 0.250 0.500
In1 In 0.000 0.000 0.000
Pm9 Pm 0.726 0.726 0.000
Tl2 Tl 0.500 0.500 0.500
Tl3 Tl 0.000 0.500 0.000
Tl4 Tl 0.000 0.000 0.500
Pm10 Pm 0.500 0.250 0.750
Pm11 Pm 0.000 0.274 0.274
Pm12 Pm 0.500 0.750 0.250


no.,VASP energy (eV/atom)
1,-7.0647
2,-5.9989
3,-5.1977
4,-5.1018